i) First-principles (PBE-GGA) data for crystalline Rb2GeBr2 at its relaxed geometry, as listed in Alexandria via LeMat-Bulk.

Geometry as POSCAR:
```
Rb2GeBr2
1.0
9.6963 0.0000 0.0000
0.0000 9.6963 0.0000
0.0000 0.0000 4.1609
Rb Ge Br
4 2 4
Direct
0.1442 0.3558 0.0000
0.3558 0.8558 0.0000
0.6442 0.1442 0.0000
0.8558 0.6442 0.0000
0.0000 0.0000 0.0000
0.5000 0.5000 0.0000
0.1547 0.6547 0.5000
0.3453 0.1547 0.5000
0.6547 0.8453 0.5000
0.8453 0.3453 0.5000
```

Properties
The calculation puts the density of states at the Fermi level at 12.06 states/eV per cell. As for the magnetic moment: 4.00 μB per cell.

---

ii) First-principles (PBE-GGA) data for crystalline Rb2GeBr2 at its relaxed geometry, as listed in Alexandria via LeMat-Bulk.

Geometry as POSCAR:
```
Rb2GeBr2
1.0
-3.3189 3.3189 6.3606
3.3189 -3.3189 6.3606
3.3189 3.3189 -6.3606
Rb Ge Br
2 1 2
Direct
0.2019 0.2019 0.0000
0.7981 0.7981 0.0000
0.5000 0.5000 0.0000
0.2500 0.7500 0.5000
0.7500 0.2500 0.5000
```

Properties
The calculation puts the density of states at the Fermi level at 15.19 states/eV per cell. As for the magnetic moment: 2.00 μB per cell.

---

The structure with the greatest stability is i).

---

i) First-principles (PBE-GGA) data for crystalline RbGeSeBr2 at its relaxed geometry, as listed in Alexandria via LeMat-Bulk.

Geometry as POSCAR:
```
RbGeSeBr2
1.0
6.1381 0.0000 0.0000
0.0000 6.1381 0.0000
0.0000 0.0000 6.1261
Rb Ge Se Br
1 1 1 2
Direct
0.0000 0.0000 0.0000
0.5000 0.5000 0.5000
0.0000 0.0000 0.5000
0.0000 0.5000 0.0000
0.5000 0.0000 0.0000
```

Properties
The calculation puts the density of states at the Fermi level at 5.37 states/eV per cell. As for the magnetic moment: 1.03 μB per cell.

---

ii) First-principles (PBE-GGA) data for crystalline RbGeSeBr2 at its relaxed geometry, as listed in Alexandria via LeMat-Bulk.

Geometry as POSCAR:
```
RbGeSeBr2
1.0
5.6026 0.0000 0.0000
0.0000 5.6026 0.0000
0.0000 0.0000 5.0864
Rb Ge Se Br
1 1 1 2
Direct
0.0000 0.0000 0.0000
0.5000 0.5000 0.5000
0.5000 0.5000 0.0000
0.0000 0.5000 0.5000
0.5000 0.0000 0.5000
```

Properties
The calculation puts the density of states at the Fermi level at 6.35 states/eV per cell. As for the magnetic moment: 0.30 μB per cell.

---

The structure with the greatest stability is ii).

---

i) First-principles (PBE-GGA) data for crystalline RbGeSe2Br at its relaxed geometry, as listed in Alexandria via LeMat-Bulk.

Geometry as POSCAR:
```
RbGeSe2Br
1.0
5.0556 0.0000 0.0000
0.0000 5.0556 0.0000
0.0000 0.0000 5.8909
Rb Ge Se Br
1 1 2 1
Direct
0.0000 0.0000 0.0000
0.5000 0.5000 0.5000
0.0000 0.5000 0.5000
0.5000 0.0000 0.5000
0.5000 0.5000 0.0000
```

Properties
The calculation puts the density of states at the Fermi level at 2.03 states/eV per cell. As for the magnetic moment: 0.00 μB per cell.

---

ii) First-principles (PBE-GGA) data for crystalline RbGeSe2Br at its relaxed geometry, as listed in Alexandria via LeMat-Bulk.

Geometry as POSCAR:
```
RbGeSe2Br
1.0
6.0785 0.0000 0.0000
0.0000 6.0785 0.0000
0.0000 0.0000 6.0382
Rb Ge Se Br
1 1 2 1
Direct
0.0000 0.0000 0.0000
0.5000 0.5000 0.5000
0.0000 0.5000 0.0000
0.5000 0.0000 0.0000
0.0000 0.0000 0.5000
```

Properties
The calculation puts the density of states at the Fermi level at 6.30 states/eV per cell. As for the magnetic moment: 2.02 μB per cell.

---

The structure with the greatest stability is i).

---

i) First-principles (PBE-GGA) data for crystalline Rb2SnGeBr6 at its relaxed geometry, as listed in Alexandria via LeMat-Bulk.

Geometry as POSCAR:
```
Rb2SnGeBr6
1.0
7.8760 0.0000 0.0000
0.0000 8.1303 0.0000
-7.8413 0.0000 11.3061
Rb Sn Ge Br
4 2 2 12
Direct
0.2312 0.0603 0.2492
0.2312 0.4397 0.7492
0.7688 0.5603 0.2508
0.7688 0.9397 0.7508
0.5000 0.0000 0.0000
0.5000 0.5000 0.5000
0.0000 0.0000 0.5000
0.0000 0.5000 0.0000
0.1595 0.2143 0.9609
0.1595 0.2857 0.4609
0.2496 0.7011 0.9617
0.2496 0.7989 0.4617
0.3191 0.0133 0.7431
0.3191 0.4867 0.2431
0.6809 0.5133 0.7569
0.6809 0.9867 0.2569
0.7504 0.2011 0.5383
0.7504 0.2989 0.0383
0.8405 0.7143 0.5391
0.8405 0.7857 0.0391
```

Properties
As for the magnetic moment: 0.00 μB per cell.

---

ii) First-principles (PBE-GGA) data for crystalline Rb2SnGeBr6 at its relaxed geometry, as listed in Alexandria via LeMat-Bulk.

Geometry as POSCAR:
```
Rb2SnGeBr6
1.0
0.0000 5.7090 5.7090
5.7090 0.0000 5.7090
5.7090 5.7090 0.0000
Rb Sn Ge Br
2 1 1 6
Direct
0.2500 0.2500 0.2500
0.7500 0.7500 0.7500
0.0000 0.0000 0.0000
0.5000 0.5000 0.5000
0.2561 0.2561 0.7439
0.2561 0.7439 0.2561
0.2561 0.7439 0.7439
0.7439 0.2561 0.2561
0.7439 0.2561 0.7439
0.7439 0.7439 0.2561
```

Properties
The calculation puts the density of states at the Fermi level at 0.00 states/eV per cell. As for the magnetic moment: 0.00 μB per cell.

---

The structure with the greatest stability is i).

---

i) First-principles (PBE-GGA) data for crystalline ReGeBr3 at its relaxed geometry, as listed in Alexandria via LeMat-Bulk.

Geometry as POSCAR:
```
ReGeBr3
1.0
5.1410 0.0000 0.0000
0.0000 5.1410 0.0000
0.0000 0.0000 5.1410
Re Ge Br
1 1 3
Direct
0.0000 0.0000 0.0000
0.5000 0.5000 0.5000
0.0000 0.0000 0.5000
0.0000 0.5000 0.0000
0.5000 0.0000 0.0000
```

Properties
The calculation puts the density of states at the Fermi level at 4.47 states/eV per cell. As for the magnetic moment: 3.61 μB per cell.

---

ii) First-principles (PBE-GGA) data for crystalline ReGeBr3 at its relaxed geometry, as listed in Alexandria via LeMat-Bulk.

Geometry as POSCAR:
```
ReGeBr3
1.0
5.4603 0.0000 0.0000
0.0000 5.4603 0.0000
0.0000 0.0000 5.4603
Re Ge Br
1 1 3
Direct
0.0000 0.0000 0.0000
0.5000 0.5000 0.5000
0.0000 0.5000 0.5000
0.5000 0.0000 0.5000
0.5000 0.5000 0.0000
```

Properties
The calculation puts the density of states at the Fermi level at 0.07 states/eV per cell. As for the magnetic moment: 5.99 μB per cell.

---

The structure with the greatest stability is i).

---

i) First-principles (PBE-GGA) data for crystalline ReGeSeBr2 at its relaxed geometry, as listed in Alexandria via LeMat-Bulk.

Geometry as POSCAR:
```
ReGeSeBr2
1.0
5.2283 0.0000 0.0000
0.0000 5.2283 0.0000
0.0000 0.0000 5.2420
Re Ge Se Br
1 1 1 2
Direct
0.0000 0.0000 0.0000
0.5000 0.5000 0.5000
0.5000 0.5000 0.0000
0.0000 0.5000 0.5000
0.5000 0.0000 0.5000
```

Properties
The calculation puts the density of states at the Fermi level at 1.63 states/eV per cell. As for the magnetic moment: 5.42 μB per cell.

---

ii) First-principles (PBE-GGA) data for crystalline ReGeSeBr2 at its relaxed geometry, as listed in Alexandria via LeMat-Bulk.

Geometry as POSCAR:
```
ReGeSeBr2
1.0
5.2248 0.0000 0.0000
0.0000 5.2248 0.0000
0.0000 0.0000 4.7405
Re Ge Se Br
1 1 1 2
Direct
0.0000 0.0000 0.0000
0.5000 0.5000 0.5000
0.0000 0.0000 0.5000
0.0000 0.5000 0.0000
0.5000 0.0000 0.0000
```

Properties
The calculation puts the density of states at the Fermi level at 5.66 states/eV per cell. As for the magnetic moment: 1.45 μB per cell.

---

The structure with the greatest stability is ii).

---

i) First-principles (PBE-GGA) data for crystalline GeRhBr2 at its relaxed geometry, as listed in Alexandria via LeMat-Bulk.

Geometry as POSCAR:
```
GeRhBr2
1.0
-4.8679 4.8679 2.3721
4.8679 -4.8679 2.3721
4.8679 4.8679 -2.3721
Ge Rh Br
2 2 4
Direct
0.0000 0.0000 0.0000
0.7500 0.2500 0.5000
0.2500 0.7500 0.5000
0.5000 0.5000 0.0000
0.2902 0.6250 0.1652
0.3750 0.5402 0.6652
0.4598 0.1250 0.8348
0.8750 0.7098 0.3348
```

Properties
The calculation puts the density of states at the Fermi level at 0.89 states/eV per cell. As for the magnetic moment: 0.00 μB per cell.

---

ii) First-principles (PBE-GGA) data for crystalline GeRhBr2 at its relaxed geometry, as listed in Alexandria via LeMat-Bulk.

Geometry as POSCAR:
```
GeRhBr2
1.0
0.0000 3.4470 3.4470
3.4470 0.0000 3.4470
3.4470 3.4470 0.0000
Ge Rh Br
1 1 2
Direct
0.0000 0.0000 0.0000
0.5000 0.5000 0.5000
0.2500 0.2500 0.2500
0.7500 0.7500 0.7500
```

Properties
The calculation puts the density of states at the Fermi level at 4.87 states/eV per cell. As for the magnetic moment: 1.02 μB per cell.

---

The structure with the greatest stability is i).

---

i) First-principles (PBE-GGA) data for crystalline GeRhBr3 at its relaxed geometry, as listed in Alexandria via LeMat-Bulk.

Geometry as POSCAR:
```
GeRhBr3
1.0
5.3498 0.0000 0.0000
0.0000 5.3498 0.0000
0.0000 0.0000 5.3498
Ge Rh Br
1 1 3
Direct
0.0000 0.0000 0.0000
0.5000 0.5000 0.5000
0.0000 0.0000 0.5000
0.0000 0.5000 0.0000
0.5000 0.0000 0.0000
```

Properties
The calculation puts the density of states at the Fermi level at 13.92 states/eV per cell. As for the magnetic moment: 1.91 μB per cell.

---

ii) First-principles (PBE-GGA) data for crystalline GeRhBr3 at its relaxed geometry, as listed in Alexandria via LeMat-Bulk.

Geometry as POSCAR:
```
GeRhBr3
1.0
5.0502 0.0000 0.0000
0.0000 5.0502 0.0000
0.0000 0.0000 5.0502
Ge Rh Br
1 1 3
Direct
0.0000 0.0000 0.0000
0.5000 0.5000 0.5000
0.0000 0.5000 0.5000
0.5000 0.0000 0.5000
0.5000 0.5000 0.0000
```

Properties
The calculation puts the density of states at the Fermi level at 4.43 states/eV per cell. As for the magnetic moment: 0.00 μB per cell.

---

The structure with the greatest stability is ii).

---

i) First-principles (PBE-GGA) data for crystalline GeRhSeBr2 at its relaxed geometry, as listed in Alexandria via LeMat-Bulk.

Geometry as POSCAR:
```
GeRhSeBr2
1.0
4.9864 0.0000 0.0000
0.0000 4.9864 0.0000
0.0000 0.0000 4.9937
Ge Rh Se Br
1 1 1 2
Direct
0.0000 0.0000 0.0000
0.5000 0.5000 0.5000
0.5000 0.5000 0.0000
0.0000 0.5000 0.5000
0.5000 0.0000 0.5000
```

Properties
The calculation puts the density of states at the Fermi level at 1.73 states/eV per cell. As for the magnetic moment: 0.00 μB per cell.

---

ii) First-principles (PBE-GGA) data for crystalline GeRhSeBr2 at its relaxed geometry, as listed in Alexandria via LeMat-Bulk.

Geometry as POSCAR:
```
GeRhSeBr2
1.0
5.1777 0.0000 0.0000
0.0000 5.1777 0.0000
0.0000 0.0000 5.1698
Ge Rh Se Br
1 1 1 2
Direct
0.0000 0.0000 0.0000
0.5000 0.5000 0.5000
0.0000 0.0000 0.5000
0.0000 0.5000 0.0000
0.5000 0.0000 0.0000
```

Properties
The calculation puts the density of states at the Fermi level at 8.40 states/eV per cell. As for the magnetic moment: 2.26 μB per cell.

---

The structure with the greatest stability is i).

---

i) First-principles (PBE-GGA) data for crystalline Ge2RuBr2 at its relaxed geometry, as listed in Alexandria via LeMat-Bulk.

Geometry as POSCAR:
```
Ge2RuBr2
1.0
7.0006 0.0000 0.0000
0.0000 7.0006 0.0000
0.0000 0.0000 5.2714
Ge Ru Br
4 2 4
Direct
0.2462 0.2538 0.0000
0.2538 0.7538 0.0000
0.7462 0.2462 0.0000
0.7538 0.7462 0.0000
0.0000 0.0000 0.0000
0.5000 0.5000 0.0000
0.1835 0.6835 0.5000
0.3165 0.1835 0.5000
0.6835 0.8165 0.5000
0.8165 0.3165 0.5000
```

Properties
The calculation puts the density of states at the Fermi level at 6.61 states/eV per cell. As for the magnetic moment: 0.99 μB per cell.

---

ii) First-principles (PBE-GGA) data for crystalline Ge2RuBr2 at its relaxed geometry, as listed in Alexandria via LeMat-Bulk.

Geometry as POSCAR:
```
Ge2RuBr2
1.0
-2.2415 2.2415 6.2019
2.2415 -2.2415 6.2019
2.2415 2.2415 -6.2019
Ge Ru Br
2 1 2
Direct
0.1052 0.1052 0.0000
0.8948 0.8948 0.0000
0.5000 0.5000 0.0000
0.2500 0.7500 0.5000
0.7500 0.2500 0.5000
```

Properties
The calculation puts the density of states at the Fermi level at 8.96 states/eV per cell. As for the magnetic moment: 2.02 μB per cell.

---

The structure with the greatest stability is i).

---

i) First-principles (PBE-GGA) data for crystalline GeRuBr3 at its relaxed geometry, as listed in Alexandria via LeMat-Bulk.

Geometry as POSCAR:
```
GeRuBr3
1.0
5.3942 0.0000 0.0000
0.0000 5.3942 0.0000
0.0000 0.0000 5.3942
Ge Ru Br
1 1 3
Direct
0.0000 0.0000 0.0000
0.5000 0.5000 0.5000
0.0000 0.0000 0.5000
0.0000 0.5000 0.0000
0.5000 0.0000 0.0000
```

Properties
The calculation puts the density of states at the Fermi level at 0.19 states/eV per cell. As for the magnetic moment: 3.02 μB per cell.

---

ii) First-principles (PBE-GGA) data for crystalline GeRuBr3 at its relaxed geometry, as listed in Alexandria via LeMat-Bulk.

Geometry as POSCAR:
```
GeRuBr3
1.0
5.0453 0.0000 0.0000
0.0000 5.0453 0.0000
0.0000 0.0000 5.0453
Ge Ru Br
1 1 3
Direct
0.0000 0.0000 0.0000
0.5000 0.5000 0.5000
0.0000 0.5000 0.5000
0.5000 0.0000 0.5000
0.5000 0.5000 0.0000
```

Properties
The calculation puts the density of states at the Fermi level at 3.92 states/eV per cell. As for the magnetic moment: 0.00 μB per cell.

---

The structure with the greatest stability is ii).

---

i) First-principles (PBE-GGA) data for crystalline Ge2SBr2 at its relaxed geometry, as listed in Alexandria via LeMat-Bulk.

Geometry as POSCAR:
```
Ge2SBr2
1.0
6.5454 -2.8643 0.0000
6.5454 2.8643 0.0000
-4.3987 0.0000 8.0608
Ge S Br
4 2 4
Direct
0.0392 0.0392 0.3298
0.3105 0.3105 0.8885
0.6895 0.6895 0.1115
0.9608 0.9608 0.6702
0.1299 0.1299 0.6376
0.8701 0.8701 0.3624
0.1702 0.1702 0.0583
0.4350 0.4350 0.7141
0.5650 0.5650 0.2859
0.8298 0.8298 0.9417
```

Properties
As for the magnetic moment: 0.00 μB per cell.

---

ii) First-principles (PBE-GGA) data for crystalline Ge2SBr2 at its relaxed geometry, as listed in Alexandria via LeMat-Bulk.

Geometry as POSCAR:
```
Ge2SBr2
1.0
8.6774 0.0000 0.0000
0.0000 8.6774 0.0000
0.0000 0.0000 3.4443
Ge S Br
4 2 4
Direct
0.2170 0.2830 0.0000
0.2830 0.7830 0.0000
0.7170 0.2170 0.0000
0.7830 0.7170 0.0000
0.0000 0.0000 0.5000
0.5000 0.5000 0.5000
0.1245 0.6245 0.5000
0.3755 0.1245 0.5000
0.6245 0.8755 0.5000
0.8755 0.3755 0.5000
```

Properties
The calculation puts the density of states at the Fermi level at 4.54 states/eV per cell. As for the magnetic moment: 0.00 μB per cell.

---

The structure with the greatest stability is i).